No. 1
{
  "formula": "Pb",
  "functional": "PBE",
  "state": "optimized geometry",
  "lattice": [[3.564, 0.000, 0.000], [0.000, 3.590, 0.000], [0.000, 0.000, 4.934]],
  "species": ["Pb", "Pb"],
  "frac_coords": [[0.000, 0.000, 0.000], [0.500, 0.500, 0.500]],
  "density_g_cm3": 10.9,
  "dos_at_fermi_per_ev_cell": 1.1,
  "ef_ev_per_atom": 0.000
}



No. 2
{
  "formula": "Pb",
  "functional": "PBE",
  "state": "optimized geometry",
  "lattice": [[3.980, 0.000, 0.000], [0.000, 3.980, 0.000], [0.000, 0.000, 3.980]],
  "species": ["Pb", "Pb"],
  "frac_coords": [[0.000, 0.000, 0.000], [0.500, 0.500, 0.500]],
  "density_g_cm3": 10.9,
  "dos_at_fermi_per_ev_cell": 1.6,
  "ef_ev_per_atom": 0.054
}



No. 3
{
  "formula": "Pb",
  "functional": "PBE",
  "state": "optimized geometry",
  "lattice": [[9.701, 0.000, 0.000], [0.000, 9.701, 0.000], [0.000, 0.000, 9.701]],
  "species": ["Pb", "Pb", "Pb", "Pb", "Pb", "Pb", "Pb", "Pb", "Pb", "Pb", "Pb", "Pb", "Pb", "Pb", "Pb", "Pb"],
  "frac_coords": [[0.159, 0.159, 0.159], [0.159, 0.159, 0.841], [0.159, 0.841, 0.159], [0.159, 0.841, 0.841], [0.341, 0.341, 0.341], [0.341, 0.341, 0.659], [0.341, 0.659, 0.341], [0.341, 0.659, 0.659], [0.659, 0.341, 0.341], [0.659, 0.341, 0.659], [0.659, 0.659, 0.341], [0.659, 0.659, 0.659], [0.841, 0.159, 0.159], [0.841, 0.159, 0.841], [0.841, 0.841, 0.159], [0.841, 0.841, 0.841]],
  "density_g_cm3": 6.0,
  "dos_at_fermi_per_ev_cell": 10.0,
  "ef_ev_per_atom": 0.397
}



Number 1: energy above the lowest structure with this stoichiometry 0.00 eV per formula unit, total magnetic moment 0.0 μB per formula unit. Number 2: energy above the lowest structure with this stoichiometry 0.05 eV per formula unit, total magnetic moment 0.0 μB per formula unit. Number 3: energy above the lowest structure with this stoichiometry 0.40 eV per formula unit, total magnetic moment 0.0 μB per formula unit.